# 1
Density functional theory data (PBE) for an optimized crystal structure of Tb2Y2Sc3.

```
Tb2Y2Sc3
1.0
-4.6725 4.6725 4.6725
4.6725 -4.6725 4.6725
4.6725 4.6725 -4.6725
Tb Y Sc
4 4 6
Direct
0.0000 0.8231 0.5000
0.5000 0.0000 0.8231
0.6769 0.6769 0.6769
0.8231 0.5000 0.0000
0.0000 0.4216 0.5000
0.0784 0.0784 0.0784
0.4216 0.5000 0.0000
0.5000 0.0000 0.4216
0.1997 0.7500 0.9497
0.2500 0.5503 0.3003
0.3003 0.2500 0.5503
0.5503 0.3003 0.2500
0.7500 0.9497 0.1997
0.9497 0.1997 0.7500
```

Output
SG = No. 199
Spin magnetization = 0.00 μB/cell
Energy above the most stable polymorph in this dataset = 0.136 eV per atom
Density of states at the Fermi level = 21.68 states/eV per cell

---

# 2
Density functional theory data (PBE) for an optimized crystal structure of Sr2InAgAu6.

```
Sr2InAgAu6
1.0
0.0000 5.2060 5.2060
5.2060 0.0000 5.2060
5.2060 5.2060 0.0000
Sr In Ag Au
2 1 1 6
Direct
0.2500 0.2500 0.2500
0.7500 0.7500 0.7500
0.0000 0.0000 0.0000
0.5000 0.5000 0.5000
0.2514 0.2514 0.7486
0.2514 0.7486 0.2514
0.2514 0.7486 0.7486
0.7486 0.2514 0.2514
0.7486 0.2514 0.7486
0.7486 0.7486 0.2514
```

Output
SG = No. 225
Spin magnetization = 0.00 μB/cell
Density of states at the Fermi level = 3.56 states/eV per cell

---

The following VASP energy values (in eV per atom) correspond, in order, to the records above: -5.6400; -3.0435.